Computed, not measured: F after structural relaxation at the PBEsol level of DFT.

```
data_F
_cell_length_a 3.109
_cell_length_b 3.109
_cell_length_c 7.036
_cell_angle_alpha 105.40
_cell_angle_beta 105.40
_cell_angle_gamma 59.63
_space_group_name_H-M_alt 'P 1'
_space_group_IT_number 1
loop_
_space_group_symop_operation_xyz
'x,y,z'
loop_
_atom_site_label
_atom_site_type_symbol
_atom_site_fract_x
_atom_site_fract_y
_atom_site_fract_z
F1 F 0.002 0.002 0.400
F2 F 0.415 0.415 0.901
F3 F 0.585 0.585 0.099
F4 F 0.998 0.998 0.600
```

Output
DOS at the Fermi energy = 0.00 states/eV/cell
relative energy among the computed polymorphs = 10 meV/atom
formation energy (no corrections) = 0.9 kJ per mole of atoms
total energy = -1.92 eV/atom